16
Lattice="3.957 0.000 0.000 0.000 3.957 0.000 0.000 0.000 15.899" Properties=species:S:1:pos:R:3 comment="Mg3GePt12 PBE-GGA relaxed" space_group="No. 123" formation_enthalpy_0k_mev_per_atom=-527 dos_at_fermi_per_ev_cell=14.18 magmom_total_mub_per_fu=0.00 pbc="T T T"
Mg 0.000 0.000 0.000
Mg 0.000 0.000 3.955
Mg 0.000 0.000 11.944
Ge 0.000 0.000 7.949
Pt 0.000 1.978 1.983
Pt 0.000 1.978 5.955
Pt 0.000 1.978 9.943
Pt 0.000 1.978 13.916
Pt 1.978 0.000 1.983
Pt 1.978 0.000 5.955
Pt 1.978 0.000 9.943
Pt 1.978 0.000 13.916
Pt 1.978 1.978 0.000
Pt 1.978 1.978 3.976
Pt 1.978 1.978 7.949
Pt 1.978 1.978 11.923